The following is a PBE calculation of an optimized crystal structure of DyHoMo, from the Alexandria database.

Lattice parameters (Å, degrees): 4.3298 5.9053 6.7498 96.21 108.71 90.00
With the nearest neighbours (Å) after each atom.
Sites, in units of the cell vectors:
1 Mo 0.2567 0.8924 0.5134  2 Mo 2.53, 1 Dy 2.78
2 Mo 0.7433 0.1076 0.4866  2 Mo 2.53, 1 Dy 2.78
3 Dy 0.5715 0.7730 0.1430  1 Mo 2.78
4 Dy 0.4285 0.2270 0.8570  1 Mo 2.78
5 Ho 0.1535 0.3630 0.3070  4 Mo 2.95-3.25
6 Ho 0.8465 0.6370 0.6930  4 Mo 2.95-3.25

Output
The total magnetization is 0.0 μB/f.u. The raw total energy comes out at -6.427 eV/atom. Its crystal system is monoclinic.